(1)
Entry from Alexandria: an optimized crystal structure of LaW2Cl (PBE). Values from VASP.

Properties
Uncorrected energy   -7.959 eV per atom
Raw formation energy   0.211 eV/atom
Offset from the most stable computed form   0.99 eV/f.u.

```
&SYSTEM
  ibrav = 0, nat = 4, ntyp = 3
/
ATOMIC_SPECIES
La 138.91 La.upf
W 183.84 W.upf
Cl 35.45 Cl.upf
ATOMIC_POSITIONS crystal
La 0.250 0.250 0.250
W 0.525 0.525 0.485
W 0.975 0.975 0.015
Cl 0.750 0.750 0.750
CELL_PARAMETERS angstrom
-1.506 6.079 1.048
-2.967 4.330 3.573
3.882 -0.806 1.688
```

***

(2)
Entry from Alexandria: an optimized crystal structure of Li2PmHfSe4 (PBE). Values from VASP.

Properties
Uncorrected energy   -5.500 eV per atom
Raw formation energy   -1.442 eV/atom

```
&SYSTEM
  ibrav = 0, nat = 8, ntyp = 4
/
ATOMIC_SPECIES
Pm 145.00 Pm.upf
Se 78.96 Se.upf
Hf 178.49 Hf.upf
Li 6.94 Li.upf
ATOMIC_POSITIONS crystal
Pm 0.000 0.000 0.000
Se 0.000 0.269 0.751
Se 0.500 0.274 0.260
Se 0.000 0.731 0.249
Se 0.500 0.726 0.740
Hf 0.500 0.500 0.000
Li 0.500 0.000 0.500
Li 0.000 0.500 0.500
CELL_PARAMETERS angstrom
3.935 0.000 0.000
0.000 6.890 0.142
0.000 -2.384 6.492
```

***

(3)
Entry from Alexandria: an optimized crystal structure of MgOs2Pb (PBE). Values from VASP.

Properties
Uncorrected energy   -6.103 eV per atom
Energy relative to the elements   837 meV per atom

```
&SYSTEM
  ibrav = 0, nat = 4, ntyp = 3
/
ATOMIC_SPECIES
Mg 24.30 Mg.upf
Pb 207.20 Pb.upf
Os 190.23 Os.upf
ATOMIC_POSITIONS crystal
Mg 0.750 0.750 0.750
Pb 0.250 0.250 0.250
Os 0.010 0.010 0.010
Os 0.490 0.490 0.490
CELL_PARAMETERS angstrom
10.252 0.060 0.035
9.831 2.908 0.035
9.831 1.453 2.519
```

***

(4)
Entry from Alexandria: an optimized crystal structure of SiB (PBE). Values from VASP.

Properties
Uncorrected energy   -5.831 eV per atom
Raw formation energy   0.220 eV/atom
Offset from the most stable computed form   0.04 eV/f.u.

```
&SYSTEM
  ibrav = 0, nat = 4, ntyp = 2
/
ATOMIC_SPECIES
B 10.81 B.upf
Si 28.09 Si.upf
ATOMIC_POSITIONS crystal
B 0.395 0.750 0.041
B 0.605 0.250 0.959
Si 0.037 0.250 0.719
Si 0.963 0.750 0.281
CELL_PARAMETERS angstrom
-1.145 -2.436 2.188
-1.315 -1.495 -2.352
4.005 -1.612 -1.214
```

***

(5)
Entry from Alexandria: an optimized crystal structure of BaCaCl2 (PBE). Values from VASP.

Properties
Uncorrected energy   -3.424 eV per atom
Raw formation energy   -1.520 eV/atom
Offset from the most stable computed form   0.70 eV/f.u.

```
&SYSTEM
  ibrav = 0, nat = 4, ntyp = 3
/
ATOMIC_SPECIES
Cl 35.45 Cl.upf
Ca 40.08 Ca.upf
Ba 137.33 Ba.upf
ATOMIC_POSITIONS crystal
Cl 0.000 0.000 0.000
Cl 0.500 0.000 0.500
Ca 0.500 0.500 0.000
Ba 0.000 0.500 0.500
CELL_PARAMETERS angstrom
7.078 -0.011 -0.023
-3.752 5.213 0.011
-0.426 1.762 3.904
```

***

(6)
Entry from Alexandria: an optimized crystal structure of MgSc2Ta (PBE). Values from VASP.

Properties
Uncorrected energy   -5.827 eV per atom
Energy relative to the elements   701 meV per atom

```
&SYSTEM
  ibrav = 0, nat = 8, ntyp = 3
/
ATOMIC_SPECIES
Mg 24.30 Mg.upf
Ta 180.95 Ta.upf
Sc 44.96 Sc.upf
ATOMIC_POSITIONS crystal
Mg 0.500 0.500 0.000
Mg 0.250 0.750 0.500
Ta 0.750 0.250 0.500
Ta 0.000 0.000 0.000
Sc 0.375 0.363 0.750
Sc 0.875 0.887 0.750
Sc 0.113 0.625 0.250
Sc 0.637 0.125 0.250
CELL_PARAMETERS angstrom
4.191 0.000 0.000
0.000 4.191 0.000
2.096 2.096 10.144
```

***

(7)
Entry from Alexandria: an optimized crystal structure of YGa2Mo (PBE). Values from VASP.

Properties
Uncorrected energy   -5.588 eV per atom
Energy relative to the elements   250 meV per atom
Offset from the most stable computed form   1.40 eV/f.u.

```
&SYSTEM
  ibrav = 0, nat = 8, ntyp = 3
/
ATOMIC_SPECIES
Mo 95.94 Mo.upf
Ga 69.72 Ga.upf
Y 88.91 Y.upf
ATOMIC_POSITIONS crystal
Mo 0.750 0.250 0.500
Mo 0.000 0.000 0.000
Ga 0.019 0.625 0.250
Ga 0.375 0.269 0.750
Ga 0.731 0.125 0.250
Ga 0.875 0.981 0.750
Y 0.500 0.500 0.000
Y 0.250 0.750 0.500
CELL_PARAMETERS angstrom
4.347 0.000 0.000
0.000 4.347 0.000
2.173 2.173 9.358
```

***

(8)
Entry from Alexandria: an optimized crystal structure of Ba2NaRhN (PBE). Values from VASP.

Properties
Uncorrected energy   -4.415 eV per atom
Raw formation energy   -0.247 eV/atom

```
&SYSTEM
  ibrav = 0, nat = 5, ntyp = 4
/
ATOMIC_SPECIES
Ba 137.33 Ba.upf
Rh 102.91 Rh.upf
Na 22.99 Na.upf
N 14.01 N.upf
ATOMIC_POSITIONS crystal
Ba 0.000 0.500 0.000
Ba 0.500 0.000 0.000
Rh 0.000 0.000 0.500
Na 0.500 0.500 0.500
N 0.000 0.000 0.000
CELL_PARAMETERS angstrom
-2.986 -3.929 -3.315
4.777 -3.537 -0.110
-1.244 -1.780 3.231
```